Here is a relaxed VP2NCl crystal from the Alexandria database. Energies are from PBE.

Geometry as CIF:
```
data_VP2NCl
_chemical_formula_sum 'V1 P2 N1 Cl1'
_cell_length_a 3.9390
_cell_length_b 3.9390
_cell_length_c 4.3444
_cell_angle_alpha 90.00
_cell_angle_beta 90.00
_cell_angle_gamma 90.00
_symmetry_space_group_name_H-M 'P 1'
_symmetry_Int_Tables_number 1
loop_
_symmetry_equiv_pos_as_xyz
'x,y,z'
loop_
_atom_site_label
_atom_site_type_symbol
_atom_site_fract_x
_atom_site_fract_y
_atom_site_fract_z
V1 V 0.0000 0.0000 0.0000
P1 P 0.0000 0.5000 0.5000
P2 P 0.5000 0.0000 0.5000
N1 N 0.5000 0.5000 0.5000
Cl1 Cl 0.5000 0.5000 0.0000
```

Properties
excess energy over the best structure of this formula in the dataset = 0 meV/atom

=====

Here is a relaxed PWNCl2 crystal from the Alexandria database. Energies are from PBE.

Geometry as CIF:
```
data_PWNCl2
_chemical_formula_sum 'P1 W1 N1 Cl2'
_cell_length_a 4.1172
_cell_length_b 4.1172
_cell_length_c 4.6010
_cell_angle_alpha 90.00
_cell_angle_beta 90.00
_cell_angle_gamma 90.00
_symmetry_space_group_name_H-M 'P 1'
_symmetry_Int_Tables_number 1
loop_
_symmetry_equiv_pos_as_xyz
'x,y,z'
loop_
_atom_site_label
_atom_site_type_symbol
_atom_site_fract_x
_atom_site_fract_y
_atom_site_fract_z
P1 P 0.0000 0.0000 0.0000
W1 W 0.5000 0.5000 0.0000
N1 N 0.0000 0.0000 0.5000
Cl1 Cl 0.0000 0.5000 0.5000
Cl2 Cl 0.5000 0.0000 0.5000
```

Properties
excess energy over the best structure of this formula in the dataset = 598 meV/atom

=====

Here is a relaxed P2WNCl crystal from the Alexandria database. Energies are from PBE.

Geometry as CIF:
```
data_P2WNCl
_chemical_formula_sum 'P2 W1 N1 Cl1'
_cell_length_a 3.9369
_cell_length_b 3.9369
_cell_length_c 4.2414
_cell_angle_alpha 90.00
_cell_angle_beta 90.00
_cell_angle_gamma 90.00
_symmetry_space_group_name_H-M 'P 1'
_symmetry_Int_Tables_number 1
loop_
_symmetry_equiv_pos_as_xyz
'x,y,z'
loop_
_atom_site_label
_atom_site_type_symbol
_atom_site_fract_x
_atom_site_fract_y
_atom_site_fract_z
P1 P 0.0000 0.5000 0.0000
P2 P 0.5000 0.0000 0.0000
W1 W 0.0000 0.0000 0.5000
N1 N 0.5000 0.5000 0.0000
Cl1 Cl 0.5000 0.5000 0.5000
```

Properties
excess energy over the best structure of this formula in the dataset = 17 meV/atom

=====

Here is a relaxed PWNCl2 crystal from the Alexandria database. Energies are from PBE.

Geometry as CIF:
```
data_PWNCl2
_chemical_formula_sum 'P1 W1 N1 Cl2'
_cell_length_a 4.8500
_cell_length_b 4.8500
_cell_length_c 4.6946
_cell_angle_alpha 90.00
_cell_angle_beta 90.00
_cell_angle_gamma 90.00
_symmetry_space_group_name_H-M 'P 1'
_symmetry_Int_Tables_number 1
loop_
_symmetry_equiv_pos_as_xyz
'x,y,z'
loop_
_atom_site_label
_atom_site_type_symbol
_atom_site_fract_x
_atom_site_fract_y
_atom_site_fract_z
P1 P 0.0000 0.0000 0.0000
W1 W 0.0000 0.0000 0.5000
N1 N 0.5000 0.5000 0.0000
Cl1 Cl 0.0000 0.5000 0.5000
Cl2 Cl 0.5000 0.0000 0.5000
```

Properties
excess energy over the best structure of this formula in the dataset = 0 meV/atom

=====

Here is a relaxed P2WNCl crystal from the Alexandria database. Energies are from PBE.

Geometry as CIF:
```
data_P2WNCl
_chemical_formula_sum 'P2 W1 N1 Cl1'
_cell_length_a 4.6761
_cell_length_b 4.6761
_cell_length_c 4.9687
_cell_angle_alpha 90.00
_cell_angle_beta 90.00
_cell_angle_gamma 90.00
_symmetry_space_group_name_H-M 'P 1'
_symmetry_Int_Tables_number 1
loop_
_symmetry_equiv_pos_as_xyz
'x,y,z'
loop_
_atom_site_label
_atom_site_type_symbol
_atom_site_fract_x
_atom_site_fract_y
_atom_site_fract_z
P1 P 0.0000 0.5000 0.0000
P2 P 0.5000 0.0000 0.0000
W1 W 0.0000 0.0000 0.0000
N1 N 0.5000 0.5000 0.5000
Cl1 Cl 0.0000 0.0000 0.5000
```

Properties
excess energy over the best structure of this formula in the dataset = 0 meV/atom

=====

Here is a relaxed YP2NCl crystal from the Alexandria database. Energies are from PBE.

Geometry as CIF:
```
data_YP2NCl
_chemical_formula_sum 'Y1 P2 N1 Cl1'
_cell_length_a 5.5273
_cell_length_b 5.5273
_cell_length_c 5.3422
_cell_angle_alpha 90.00
_cell_angle_beta 90.00
_cell_angle_gamma 90.00
_symmetry_space_group_name_H-M 'P 1'
_symmetry_Int_Tables_number 1
loop_
_symmetry_equiv_pos_as_xyz
'x,y,z'
loop_
_atom_site_label
_atom_site_type_symbol
_atom_site_fract_x
_atom_site_fract_y
_atom_site_fract_z
Y1 Y 0.0000 0.0000 0.0000
P1 P 0.0000 0.5000 0.0000
P2 P 0.5000 0.0000 0.0000
N1 N 0.5000 0.5000 0.5000
Cl1 Cl 0.0000 0.0000 0.5000
```

Properties
excess energy over the best structure of this formula in the dataset = 1076 meV/atom

=====

Here is a relaxed YP2NCl crystal from the Alexandria database. Energies are from PBE.

Geometry as CIF:
```
data_YP2NCl
_chemical_formula_sum 'Y1 P2 N1 Cl1'
_cell_length_a 3.8524
_cell_length_b 3.8524
_cell_length_c 5.6055
_cell_angle_alpha 90.00
_cell_angle_beta 90.00
_cell_angle_gamma 90.00
_symmetry_space_group_name_H-M 'P 1'
_symmetry_Int_Tables_number 1
loop_
_symmetry_equiv_pos_as_xyz
'x,y,z'
loop_
_atom_site_label
_atom_site_type_symbol
_atom_site_fract_x
_atom_site_fract_y
_atom_site_fract_z
Y1 Y 0.0000 0.0000 0.0000
P1 P 0.0000 0.5000 0.5000
P2 P 0.5000 0.0000 0.5000
N1 N 0.5000 0.5000 0.5000
Cl1 Cl 0.5000 0.5000 0.0000
```

Properties
excess energy over the best structure of this formula in the dataset = 0 meV/atom

=====

Here is a relaxed Zn3P6N12Cl crystal from the Alexandria database. Energies are from PBE.

Geometry as CIF:
```
data_Zn3P6N12Cl
_chemical_formula_sum 'Zn3 P6 N12 Cl1'
_cell_length_a 7.1861
_cell_length_b 7.1861
_cell_length_c 7.1861
_cell_angle_alpha 109.36
_cell_angle_beta 109.36
_cell_angle_gamma 109.36
_symmetry_space_group_name_H-M 'P 1'
_symmetry_Int_Tables_number 1
loop_
_symmetry_equiv_pos_as_xyz
'x,y,z'
loop_
_atom_site_label
_atom_site_type_symbol
_atom_site_fract_x
_atom_site_fract_y
_atom_site_fract_z
Zn1 Zn 0.2132 0.2132 0.5737
Zn2 Zn 0.2132 0.5737 0.2132
Zn3 Zn 0.5737 0.2131 0.2132
P1 P 0.4647 0.7102 0.9597
P2 P 0.4647 0.9597 0.7102
P3 P 0.7102 0.4647 0.9597
P4 P 0.7102 0.9597 0.4647
P5 P 0.9597 0.4647 0.7102
P6 P 0.9597 0.7102 0.4647
N1 N 0.2108 0.4863 0.7668
N2 N 0.2108 0.7668 0.4863
N3 N 0.4863 0.2108 0.7668
N4 N 0.4863 0.7668 0.2108
N5 N 0.4871 0.9366 0.9366
N6 N 0.6518 0.6518 0.9292
N7 N 0.6518 0.9292 0.6518
N8 N 0.7668 0.2108 0.4863
N9 N 0.7668 0.4863 0.2108
N10 N 0.9292 0.6518 0.6518
N11 N 0.9366 0.4871 0.9366
N12 N 0.9366 0.9366 0.4871
Cl1 Cl 0.2561 0.2561 0.2561
```

Properties
final energy = -6.69 eV per atom

=====

Here is a relaxed ZrP2NCl crystal from the Alexandria database. Energies are from PBE.

Geometry as CIF:
```
data_ZrP2NCl
_chemical_formula_sum 'Zr1 P2 N1 Cl1'
_cell_length_a 3.9930
_cell_length_b 3.9930
_cell_length_c 4.6006
_cell_angle_alpha 90.00
_cell_angle_beta 90.00
_cell_angle_gamma 90.00
_symmetry_space_group_name_H-M 'P 1'
_symmetry_Int_Tables_number 1
loop_
_symmetry_equiv_pos_as_xyz
'x,y,z'
loop_
_atom_site_label
_atom_site_type_symbol
_atom_site_fract_x
_atom_site_fract_y
_atom_site_fract_z
Zr1 Zr 0.0000 0.0000 0.0000
P1 P 0.0000 0.5000 0.5000
P2 P 0.5000 0.0000 0.5000
N1 N 0.5000 0.5000 0.5000
Cl1 Cl 0.5000 0.5000 0.0000
```

Properties
excess energy over the best structure of this formula in the dataset = 0 meV/atom

=====

Here is a relaxed ZrP2NCl crystal from the Alexandria database. Energies are from PBE.

Geometry as CIF:
```
data_ZrP2NCl
_chemical_formula_sum 'Zr1 P2 N1 Cl1'
_cell_length_a 5.0972
_cell_length_b 5.0972
_cell_length_c 5.0937
_cell_angle_alpha 90.00
_cell_angle_beta 90.00
_cell_angle_gamma 90.00
_symmetry_space_group_name_H-M 'P 1'
_symmetry_Int_Tables_number 1
loop_
_symmetry_equiv_pos_as_xyz
'x,y,z'
loop_
_atom_site_label
_atom_site_type_symbol
_atom_site_fract_x
_atom_site_fract_y
_atom_site_fract_z
Zr1 Zr 0.0000 0.0000 0.0000
P1 P 0.0000 0.5000 0.0000
P2 P 0.5000 0.0000 0.0000
N1 N 0.5000 0.5000 0.5000
Cl1 Cl 0.0000 0.0000 0.5000
```

Properties
excess energy over the best structure of this formula in the dataset = 596 meV/atom